VASP calculation (PBE) on crystalline Rb3Sm3BiSe8 at its relaxed geometry.

Cell and atoms, written as POSCAR:
```
Rb3Sm3BiSe8
1.0
7.396 -4.265 0.000
7.396 4.265 0.000
-4.939 0.000 8.193
Rb Sm Bi Se
3 3 1 8
Cartesian
0.000 0.000 0.000
3.698 2.132 0.000
3.698 -2.132 0.000
1.228 2.132 4.096
1.228 -2.132 4.096
4.926 0.000 4.096
-2.469 0.000 4.096
-0.015 0.000 5.710
3.699 2.142 5.709
6.154 2.142 2.484
2.461 0.000 2.472
7.391 0.000 5.721
3.699 -2.142 5.709
6.154 -2.142 2.484
9.868 0.000 2.483
```

The calculation puts the raw formation energy at -1.414 eV per atom. The total DFT energy (no corrections) is -4.67 eV/atom.